# PBE GaPdO2F, optimized geometry
data_GaPdO2F
_chemical_formula_sum 'Ga1 Pd1 O2 F1'
_cell_length_a 3.900
_cell_length_b 3.900
_cell_length_c 3.777
_cell_angle_alpha 90.00
_cell_angle_beta 90.00
_cell_angle_gamma 90.00
_symmetry_space_group_name_H-M 'P 1'
_symmetry_Int_Tables_number 1
_symmetry_space_group_name_Hall 'P 1'
loop_
_atom_site_label
_atom_site_type_symbol
_atom_site_fract_x
_atom_site_fract_y
_atom_site_fract_z
_atom_site_occupancy
O1 O 0.000 0.500 0.000 1
O2 O 0.500 0.000 0.000 1
Ga1 Ga 0.000 0.000 0.000 1
Pd1 Pd 0.500 0.500 0.500 1
F1 F 0.000 0.000 0.500 1
# - energy (eV per atom) = -4.848
# - density of states at the Fermi level (states/eV per atom) = 0.916
# - symmetry = P4/mmm, No. 123
# - ρ (g/cm³) = 6.6

***

# PBE GaPdO2F, optimized geometry
data_GaPdO2F
_chemical_formula_sum 'Ga1 Pd1 O2 F1'
_cell_length_a 3.999
_cell_length_b 3.999
_cell_length_c 4.208
_cell_angle_alpha 90.00
_cell_angle_beta 90.00
_cell_angle_gamma 90.00
_symmetry_space_group_name_H-M 'P 1'
_symmetry_Int_Tables_number 1
_symmetry_space_group_name_Hall 'P 1'
loop_
_atom_site_label
_atom_site_type_symbol
_atom_site_fract_x
_atom_site_fract_y
_atom_site_fract_z
_atom_site_occupancy
O1 O 0.000 0.500 0.000 1
O2 O 0.500 0.000 0.000 1
Ga1 Ga 0.500 0.500 0.500 1
Pd1 Pd 0.000 0.000 0.000 1
F1 F 0.000 0.000 0.500 1
# - energy (eV per atom) = -4.456
# - density of states at the Fermi level (states/eV per atom) = 0.964
# - symmetry = P4/mmm, No. 123
# - ρ (g/cm³) = 5.6

***

# PBE GaPtOF2, optimized geometry
data_GaPtOF2
_chemical_formula_sum 'Ga1 Pt1 O1 F2'
_cell_length_a 4.491
_cell_length_b 4.491
_cell_length_c 3.844
_cell_angle_alpha 90.00
_cell_angle_beta 90.00
_cell_angle_gamma 90.00
_symmetry_space_group_name_H-M 'P 1'
_symmetry_Int_Tables_number 1
_symmetry_space_group_name_Hall 'P 1'
loop_
_atom_site_label
_atom_site_type_symbol
_atom_site_fract_x
_atom_site_fract_y
_atom_site_fract_z
_atom_site_occupancy
O1 O 0.000 0.000 0.500 1
Ga1 Ga 0.500 0.500 0.500 1
Pt1 Pt 0.000 0.000 0.000 1
F1 F 0.000 0.500 0.000 1
F2 F 0.500 0.000 0.000 1
# - energy above the lowest structure with this stoichiometry (kJ/mol of formula units) = 32
# - density of states at the Fermi level (states/eV per atom) = 0.651
# - symmetry = P4/mmm, No. 123
# - ρ (g/cm³) = 6.8

***

# PBE GaPtOF2, optimized geometry
data_GaPtOF2
_chemical_formula_sum 'Ga1 Pt1 O1 F2'
_cell_length_a 3.935
_cell_length_b 3.935
_cell_length_c 3.949
_cell_angle_alpha 90.00
_cell_angle_beta 90.00
_cell_angle_gamma 90.00
_symmetry_space_group_name_H-M 'P 1'
_symmetry_Int_Tables_number 1
_symmetry_space_group_name_Hall 'P 1'
loop_
_atom_site_label
_atom_site_type_symbol
_atom_site_fract_x
_atom_site_fract_y
_atom_site_fract_z
_atom_site_occupancy
O1 O 0.000 0.000 0.500 1
Ga1 Ga 0.000 0.000 0.000 1
Pt1 Pt 0.500 0.500 0.500 1
F1 F 0.000 0.500 0.000 1
F2 F 0.500 0.000 0.000 1
# - energy above the lowest structure with this stoichiometry (kJ/mol of formula units) = 0
# - density of states at the Fermi level (states/eV per atom) = 0.542
# - symmetry = P4/mmm, No. 123
# - ρ (g/cm³) = 8.7

***

# PBE GaReO2F, optimized geometry
data_GaReO2F
_chemical_formula_sum 'Ga1 Re1 O2 F1'
_cell_length_a 3.854
_cell_length_b 3.854
_cell_length_c 4.596
_cell_angle_alpha 90.00
_cell_angle_beta 90.00
_cell_angle_gamma 90.00
_symmetry_space_group_name_H-M 'P 1'
_symmetry_Int_Tables_number 1
_symmetry_space_group_name_Hall 'P 1'
loop_
_atom_site_label
_atom_site_type_symbol
_atom_site_fract_x
_atom_site_fract_y
_atom_site_fract_z
_atom_site_occupancy
Re1 Re 0.000 0.000 0.000 1
O1 O 0.000 0.500 0.000 1
O2 O 0.500 0.000 0.000 1
Ga1 Ga 0.500 0.500 0.500 1
F1 F 0.000 0.000 0.500 1
# - energy (eV per atom) = -6.601
# - density of states at the Fermi level (states/eV per atom) = 0.140
# - symmetry = P4/mmm, No. 123
# - ρ (g/cm³) = 7.5

***

# PBE GaReO2F, optimized geometry
data_GaReO2F
_chemical_formula_sum 'Ga1 Re1 O2 F1'
_cell_length_a 3.918
_cell_length_b 3.918
_cell_length_c 3.900
_cell_angle_alpha 90.00
_cell_angle_beta 90.00
_cell_angle_gamma 90.00
_symmetry_space_group_name_H-M 'P 1'
_symmetry_Int_Tables_number 1
_symmetry_space_group_name_Hall 'P 1'
loop_
_atom_site_label
_atom_site_type_symbol
_atom_site_fract_x
_atom_site_fract_y
_atom_site_fract_z
_atom_site_occupancy
Re1 Re 0.500 0.500 0.500 1
O1 O 0.000 0.500 0.000 1
O2 O 0.500 0.000 0.000 1
Ga1 Ga 0.000 0.000 0.000 1
F1 F 0.000 0.000 0.500 1
# - energy (eV per atom) = -5.802
# - density of states at the Fermi level (states/eV per atom) = 0.136
# - symmetry = P4/mmm, No. 123
# - ρ (g/cm³) = 8.5

***

# PBE GaS2O6F2, optimized geometry
data_GaS2O6F2
_chemical_formula_sum 'Ga1 S2 O6 F2'
_cell_length_a 5.519
_cell_length_b 5.519
_cell_length_c 6.335
_cell_angle_alpha 90.00
_cell_angle_beta 90.00
_cell_angle_gamma 120.00
_symmetry_space_group_name_H-M 'P 1'
_symmetry_Int_Tables_number 1
_symmetry_space_group_name_Hall 'P 1'
loop_
_atom_site_label
_atom_site_type_symbol
_atom_site_fract_x
_atom_site_fract_y
_atom_site_fract_z
_atom_site_occupancy
Ga1 Ga 0.000 0.000 0.000 1
S1 S 0.333 0.667 0.745 1
S2 S 0.667 0.333 0.255 1
O1 O 0.185 0.369 0.798 1
O2 O 0.184 0.815 0.798 1
O3 O 0.631 0.816 0.798 1
O4 O 0.815 0.631 0.202 1
O5 O 0.816 0.185 0.202 1
O6 O 0.369 0.184 0.202 1
F1 F 0.333 0.667 0.491 1
F2 F 0.667 0.333 0.509 1
# - energy (eV per atom) = -5.420
# - density of states at the Fermi level (states/eV per atom) = 0.227
# - symmetry = P-3m1, No. 164
# - ρ (g/cm³) = 2.7

***

# PBE GaSOF2, optimized geometry
data_GaSOF2
_chemical_formula_sum 'Ga1 S1 O1 F2'
_cell_length_a 4.585
_cell_length_b 4.585
_cell_length_c 3.469
_cell_angle_alpha 90.00
_cell_angle_beta 90.00
_cell_angle_gamma 90.00
_symmetry_space_group_name_H-M 'P 1'
_symmetry_Int_Tables_number 1
_symmetry_space_group_name_Hall 'P 1'
loop_
_atom_site_label
_atom_site_type_symbol
_atom_site_fract_x
_atom_site_fract_y
_atom_site_fract_z
_atom_site_occupancy
S1 S 0.000 0.000 0.000 1
O1 O 0.000 0.000 0.500 1
Ga1 Ga 0.500 0.500 0.500 1
F1 F 0.000 0.500 0.000 1
F2 F 0.500 0.000 0.000 1
# - energy above the lowest structure with this stoichiometry (kJ/mol of formula units) = 82
# - density of states at the Fermi level (states/eV per atom) = 0.216
# - symmetry = P4/mmm, No. 123
# - ρ (g/cm³) = 3.5